1.
Entry from Alexandria: a relaxed structure of Pr3DyAg2 (PBE).

abc: 5.285 9.507 7.031
angles: 90.00 90.00 90.00
Sites, in units of the cell vectors:
1 Pr 0.000 0.061 0.000
2 Pr 0.000 0.336 0.345
3 Pr 0.000 0.664 0.845
4 Pr 0.000 0.939 0.500
5 Pr 0.500 0.171 0.666
6 Pr 0.500 0.829 0.166
7 Dy 0.500 0.440 0.016
8 Dy 0.500 0.560 0.516
9 Ag 0.000 0.349 0.784
10 Ag 0.000 0.651 0.284
11 Ag 0.500 0.159 0.230
12 Ag 0.500 0.841 0.730

Calculated values
Formation energy ... -0.148 eV per atom
Space group ... No. 26

***

2.
Entry from Alexandria: a relaxed structure of MgBeHg (PBE).

abc: 4.327 4.327 7.043
angles: 107.92 107.92 59.85
Sites, in units of the cell vectors:
1 Mg 0.000 0.000 0.000
2 Mg 0.160 0.160 0.480
3 Be 0.754 0.754 0.268
4 Be 0.871 0.871 0.610
5 Hg 0.407 0.407 0.223
6 Hg 0.578 0.578 0.736

Calculated values
Formation energy ... 0.117 eV per atom
Space group ... No. 8

***

3.
Entry from Alexandria: a relaxed structure of La2Tb5Pm3 (PBE).

abc: 10.798 10.798 10.798
angles: 125.95 72.19 135.96
Sites, in units of the cell vectors:
1 La 0.119 0.113 0.232
2 La 0.381 0.613 0.993
3 La 0.619 0.387 0.007
4 La 0.881 0.887 0.768
5 Tb 0.011 0.250 0.761
6 Tb 0.133 0.403 0.536
7 Tb 0.250 0.750 0.500
8 Tb 0.367 0.903 0.270
9 Tb 0.489 0.250 0.239
10 Tb 0.511 0.750 0.761
11 Tb 0.633 0.097 0.730
12 Tb 0.750 0.250 0.500
13 Tb 0.867 0.597 0.464
14 Tb 0.989 0.750 0.239
15 Pm 0.128 0.744 0.873
16 Pm 0.250 0.250 0.000
17 Pm 0.372 0.244 0.616
18 Pm 0.628 0.756 0.384
19 Pm 0.750 0.750 0.000
20 Pm 0.872 0.256 0.127

Calculated values
Formation energy ... 0.417 eV per atom
Space group ... No. 72

***

4.
Entry from Alexandria: a relaxed structure of Er2GeP (PBE).

abc: 7.397 7.397 7.397
angles: 30.56 30.56 30.56
Sites, in units of the cell vectors:
1 Er 0.243 0.243 0.243
2 Er 0.757 0.757 0.757
3 Ge 0.000 0.000 0.000
4 P 0.500 0.500 0.500

Calculated values
Formation energy ... -1.145 eV per atom
Space group ... No. 166

***

5.
Entry from Alexandria: a relaxed structure of Li2ZnCo (PBE).

abc: 4.804 4.804 4.804
angles: 136.69 136.69 62.91
Sites, in units of the cell vectors:
1 Li 0.250 0.750 0.500
2 Li 0.750 0.250 0.500
3 Zn 0.000 0.000 0.000
4 Co 0.500 0.500 0.000

Calculated values
Formation energy ... 0.075 eV per atom
Space group ... No. 139

***

6.
Entry from Alexandria: a relaxed structure of Li4CaAu (PBE).

abc: 8.048 4.302 7.666
angles: 90.00 90.00 90.00
Sites, in units of the cell vectors:
1 Li 0.000 0.000 0.000
2 Li 0.064 0.500 0.296
3 Li 0.250 0.500 0.976
4 Li 0.436 0.500 0.296
5 Li 0.500 0.000 0.000
6 Li 0.564 0.500 0.704
7 Li 0.750 0.500 0.024
8 Li 0.936 0.500 0.704
9 Ca 0.250 0.000 0.604
10 Ca 0.750 0.000 0.396
11 Au 0.250 0.000 0.213
12 Au 0.750 0.000 0.787

Calculated values
Formation energy ... -0.262 eV per atom
Space group ... No. 51

***

7.
Entry from Alexandria: a relaxed structure of AcCeAg2 (PBE).

abc: 5.455 5.455 3.854
angles: 90.00 90.00 90.00
Sites, in units of the cell vectors:
1 Ac 0.000 0.000 0.000
2 Ce 0.500 0.500 0.000
3 Ag 0.000 0.500 0.500
4 Ag 0.500 0.000 0.500

Calculated values
Formation energy ... -0.125 eV per atom
Space group ... No. 123

***

8.
Entry from Alexandria: a relaxed structure of Zn6CuAu3 (PBE).

abc: 7.498 4.485 9.829
angles: 90.00 111.13 90.00
Sites, in units of the cell vectors:
1 Zn 0.001 0.250 0.167
2 Zn 0.002 0.750 0.324
3 Zn 0.201 0.750 0.144
4 Zn 0.228 0.250 0.470
5 Zn 0.394 0.750 0.927
6 Zn 0.417 0.250 0.288
7 Zn 0.583 0.750 0.712
8 Zn 0.606 0.250 0.073
9 Zn 0.772 0.750 0.530
10 Zn 0.799 0.250 0.856
11 Zn 0.998 0.250 0.676
12 Zn 0.999 0.750 0.833
13 Cu 0.397 0.750 0.432
14 Cu 0.603 0.250 0.568
15 Au 0.169 0.750 0.618
16 Au 0.201 0.250 0.980
17 Au 0.416 0.250 0.772
18 Au 0.584 0.750 0.228
19 Au 0.799 0.750 0.020
20 Au 0.831 0.250 0.382

Calculated values
Formation energy ... -0.157 eV per atom
Space group ... No. 11

***

Number 1: theoretical density 7.530 g/cm3. Number 2: theoretical density 7.289 g/cm3. Number 3: theoretical density 7.220 g/cm3. Number 4: theoretical density 7.843 g/cm3. Number 5: theoretical density 4.457 g/cm3. Number 6: theoretical density 3.314 g/cm3. Number 7: theoretical density 8.440 g/cm3. Number 8: theoretical density 11.276 g/cm3.